# 1
MgGaH4: relaxed, PBE.

Unit cell a=6.6232 b=7.7466 c=9.3974 alpha=90.00 beta=131.48 gamma=90.00
Space group P2_1/c (No. 14)
Unique sites:
Mg 0.2016 0.0832 0.1711 (multiplicity 4)
Ga 0.1768 0.0559 0.5059 (multiplicity 4)
H 0.0689 0.1144 0.2985 (multiplicity 4)
H 0.1604 0.6268 0.5620 (multiplicity 4)
H 0.3457 0.2272 0.6321 (multiplicity 4)
H 0.4244 0.5755 0.0874 (multiplicity 4)

=====

# 2
Cr2IrPd: relaxed, PBE.

Unit cell a=3.7576 b=3.7576 c=3.7665 alpha=90.00 beta=90.00 gamma=90.00
Space group P4/mmm (No. 123)
Unique sites:
Cr 0.0000 0.5000 0.0000 (multiplicity 2)
Ir 0.0000 0.0000 0.5000 (multiplicity 1)
Pd 0.5000 0.5000 0.5000 (multiplicity 1)

Computed properties:
E_form   21 meV/atom

=====

# 3
Al2Ge2P: relaxed, PBE.

Unit cell a=3.5623 b=3.5623 c=14.1499 alpha=90.00 beta=90.00 gamma=90.00
Space group I4/mmm (No. 139)
Unique sites:
Al 0.0000 0.0000 0.0911 (multiplicity 4)
Ge 0.0000 0.5000 0.2500 (multiplicity 4)
P 0.0000 0.0000 0.5000 (multiplicity 2)

Computed properties:
E_form   238 meV/atom
Energy relative to the lowest polymorph listed for this composition   0.00 kcal/mol of atoms

=====

# 4
CdRu2W: relaxed, PBE.

Unit cell a=6.3515 b=6.3515 c=6.3515 alpha=90.00 beta=90.00 gamma=90.00
Space group F-43m (No. 216)
Unique sites:
Cd 0.0000 0.0000 0.0000 (multiplicity 4)
Ru 0.0000 0.0000 0.5000 (multiplicity 4)
Ru 0.2500 0.2500 0.7500 (multiplicity 4)
W 0.2500 0.2500 0.2500 (multiplicity 4)

Computed properties:
E_form   721 meV/atom

=====

Number 1: size of the total moment 0.00 μB per formula unit, raw total energy -0.2201 Ry/atom. Number 2: size of the total moment 0.78 μB per formula unit, raw total energy -0.6103 Ry/atom. Number 3: size of the total moment 0.00 μB per formula unit, raw total energy -0.3078 Ry/atom. Number 4: size of the total moment 1.39 μB per formula unit, raw total energy -0.5427 Ry/atom.